Density functional theory data (GGA-PBE) for crystalline BaInS2 at its relaxed geometry.

Lattice parameters (Å, degrees): 8.583 8.583 8.583 32.15 32.15 32.15
Sites, in units of the cell vectors:
Ba 0.500 0.500 0.500
S 0.101 0.101 0.101
S 0.899 0.899 0.899
In 0.000 0.000 0.000

## Properties
Uncorrected formation energy: -0.91 eV per atom
Total moment: 0.00 μB per formula unit

Density functional theory data (GGA-PBE) for crystalline CeCdSn at its relaxed geometry.

Lattice parameters (Å, degrees): 3.579 3.579 6.778 105.31 105.31 90.00
Sites, in units of the cell vectors:
Sn 0.677 0.677 0.354
Cd 0.324 0.324 0.649
Ce 0.999 0.999 0.998

## Properties
Total moment: 1.48 μB per formula unit
E_form: -229 meV/atom

Density functional theory data (GGA-PBE) for crystalline HgRh2O at its relaxed geometry.

Lattice parameters (Å, degrees): 4.808 4.808 7.182 70.44 70.44 90.00
Sites, in units of the cell vectors:
Rh 0.453 0.125 0.250
Rh 0.297 0.625 0.250
Rh 0.875 0.703 0.750
Rh 0.375 0.547 0.750
Hg 0.000 0.000 0.000
Hg 0.750 0.250 0.500
O 0.250 0.750 0.500
O 0.500 0.500 0.000

## Properties
Uncorrected formation energy: 0.13 eV per atom
Total moment: 0.00 μB per formula unit

Density functional theory data (GGA-PBE) for crystalline ScTi3Be at its relaxed geometry.

Lattice parameters (Å, degrees): 4.605 4.605 4.605 90.00 90.00 90.00
Sites, in units of the cell vectors:
Ti 0.000 0.000 0.500
Ti 0.500 0.000 0.000
Ti 0.000 0.500 0.000
Sc 0.000 0.000 0.000
Be 0.500 0.500 0.500

## Properties
Total moment: 0.00 μB per formula unit
E_form: 1491 meV/atom

Density functional theory data (GGA-PBE) for crystalline K2OsRu at its relaxed geometry.

Lattice parameters (Å, degrees): 4.353 4.353 9.983 88.34 88.34 38.41
Sites, in units of the cell vectors:
Ru 0.243 0.243 0.333
K 0.992 0.992 0.093
K 0.759 0.759 0.657
Os 0.507 0.507 0.417

## Properties
Total moment: 0.00 μB per formula unit
E_form: 766 meV/atom

Density functional theory data (GGA-PBE) for crystalline NdSmTh2Sb5 at its relaxed geometry.

Lattice parameters (Å, degrees): 5.324 5.324 11.671 90.00 90.00 90.00
Sites, in units of the cell vectors:
Sb 0.000 0.000 0.250
Sb 0.500 0.000 0.500
Sb 0.000 0.500 0.500
Sb 0.000 0.000 0.750
Sb 0.500 0.500 0.000
Th 0.500 0.500 0.303
Th 0.500 0.500 0.697
Nd 0.000 0.000 0.000
Sm 0.000 0.000 0.500

## Properties
Uncorrected formation energy: -0.12 eV per atom
Total moment: 0.00 μB per formula unit

Density functional theory data (GGA-PBE) for crystalline Rb2TcWI6 at its relaxed geometry.

Lattice parameters (Å, degrees): 8.172 8.172 8.174 60.00 60.00 90.00
Sites, in units of the cell vectors:
I 0.246 0.246 0.508
I 0.246 0.754 0.000
I 0.754 0.754 0.000
I 0.754 0.754 0.492
I 0.246 0.246 0.000
I 0.754 0.246 0.000
Rb 0.750 0.250 0.500
Rb 0.250 0.750 0.500
Tc 0.500 0.500 0.000
W 0.000 0.000 0.000

## Properties
Uncorrected formation energy: -0.22 eV per atom
Total moment: 7.03 μB per formula unit

Density functional theory data (GGA-PBE) for crystalline NbPtBr2 at its relaxed geometry.

Lattice parameters (Å, degrees): 6.369 6.369 6.911 62.56 62.56 90.00
Sites, in units of the cell vectors:
Br 0.629 0.125 0.250
Br 0.121 0.625 0.250
Br 0.875 0.879 0.750
Br 0.375 0.371 0.750
Nb 0.500 0.500 0.000
Nb 0.250 0.750 0.500
Pt 0.000 0.000 0.000
Pt 0.750 0.250 0.500

## Properties
Uncorrected formation energy: 0.68 eV per atom
Total moment: 2.73 μB per formula unit

Density functional theory data (GGA-PBE) for crystalline CaGa8Rh2 at its relaxed geometry.

Lattice parameters (Å, degrees): 6.346 6.346 5.278 90.00 90.00 90.00
Sites, in units of the cell vectors:
Rh 0.500 0.000 0.000
Rh 0.000 0.500 0.000
Ga 0.791 0.791 0.748
Ga 0.791 0.791 0.252
Ga 0.209 0.209 0.748
Ga 0.209 0.209 0.252
Ga 0.791 0.209 0.252
Ga 0.791 0.209 0.748
Ga 0.209 0.791 0.252
Ga 0.209 0.791 0.748
Ca 0.500 0.500 0.500

## Properties
Total moment: 0.00 μB per formula unit
E_form: -254 meV/atom

Density functional theory data (GGA-PBE) for crystalline RbPb5 at its relaxed geometry.

Lattice parameters (Å, degrees): 5.661 8.096 9.500 90.00 90.00 90.00
Sites, in units of the cell vectors:
Rb 0.000 0.250 0.351
Rb 0.000 0.750 0.649
Pb 0.500 0.448 0.675
Pb 0.500 0.552 0.325
Pb 0.000 0.750 0.267
Pb 0.000 0.500 0.000
Pb 0.500 0.250 0.999
Pb 0.500 0.948 0.325
Pb 0.500 0.750 0.001
Pb 0.000 0.000 0.000
Pb 0.500 0.052 0.675
Pb 0.000 0.250 0.733

## Properties
Total moment: 0.00 μB per formula unit
E_form: -3 meV/atom

Density functional theory data (GGA-PBE) for crystalline ReBr at its relaxed geometry.

Lattice parameters (Å, degrees): 3.826 3.826 3.826 60.00 60.00 60.00
Sites, in units of the cell vectors:
Re 0.500 0.500 0.500
Br 0.000 0.000 0.000

## Properties
Uncorrected formation energy: 2.32 eV per atom
Total moment: 2.45 μB per formula unit

Density functional theory data (GGA-PBE) for crystalline SrZnPb2 at its relaxed geometry.

Lattice parameters (Å, degrees): 5.288 5.288 5.792 74.42 74.42 52.71
Sites, in units of the cell vectors:
Zn 0.250 0.250 0.250
Pb 0.502 0.502 0.434
Pb 0.998 0.998 0.066
Sr 0.750 0.750 0.750

## Properties
Total moment: 0.00 μB per formula unit
E_form: -198 meV/atom

Number 1: mass density 3.3 g/cm3. Number 2: mass density 7.7 g/cm3. Number 3: mass density 9.6 g/cm3. Number 4: mass density 3.4 g/cm3. Number 5: mass density 5.2 g/cm3. Number 6: mass density 6.9 g/cm3. Number 7: mass density 5.2 g/cm3. Number 8: mass density 7.0 g/cm3. Number 9: mass density 6.3 g/cm3. Number 10: mass density 8.6 g/cm3. Number 11: mass density 11.2 g/cm3. Number 12: mass density 7.7 g/cm3.